# NaTiV2O8 | the Alexandria database | PBE+U | optimized geometry
# Symmetry = I-4m2 (119)
# E_tot = -7.17 eV/atom
# Crystal system = tetragonal
data_NaTiV2O8
_chemical_formula_sum 'Na1 Ti1 V2 O8'
_symmetry_space_group_name_H-M 'P 1'
_symmetry_Int_Tables_number 1
_cell_length_a 5.755
_cell_length_b 5.755
_cell_length_c 5.755
_cell_angle_alpha 105.90
_cell_angle_beta 105.90
_cell_angle_gamma 116.89
loop_
_symmetry_equiv_pos_as_xyz
'x,y,z'
loop_
_atom_site_label
_atom_site_type_symbol
_atom_site_fract_x
_atom_site_fract_y
_atom_site_fract_z
Na1 Na 0.000 0.000 0.000
Ti1 Ti 0.250 0.750 0.500
V1 V 0.500 0.500 0.000
V2 V 0.750 0.250 0.500
O1 O 0.343 0.131 0.788
O2 O 0.343 0.555 0.212
O3 O 0.370 0.050 0.319
O4 O 0.445 0.657 0.788
O5 O 0.731 0.050 0.681
O6 O 0.869 0.657 0.212
O7 O 0.950 0.269 0.319
O8 O 0.950 0.630 0.681